# 1
VASP calculation (GGA-PBE) on a relaxed structure of Tl3In2AgBr6. Values from VASP.

```
&SYSTEM
  ibrav = 0, nat = 12, ntyp = 4
/
ATOMIC_SPECIES
Tl 204.38 Tl.upf
In 114.82 In.upf
Ag 107.87 Ag.upf
Br 79.90 Br.upf
ATOMIC_POSITIONS angstrom
Tl -2.573 4.613 3.789
Tl 5.282 0.076 3.789
Tl 1.354 2.345 3.789
In 0.060 4.651 0.004
In 3.999 2.377 0.004
Ag 0.000 0.000 0.000
Br 3.900 2.619 5.905
Br 2.787 4.826 1.917
Br -1.191 2.071 1.674
Br 0.319 4.686 5.905
Br -0.079 -0.136 5.662
Br 2.389 0.003 1.674
CELL_PARAMETERS angstrom
7.987 0.073 0.004
-3.928 6.955 0.004
-1.350 -2.338 7.571
```

Results
mass density: 5.62 g/cm3
density of states at the Fermi level: 0.00 states/eV per cell
M_tot: 0.00 μB per formula unit
E_form (uncorrected): -683 meV/atom

---

# 2
VASP calculation (GGA-PBE) on a relaxed structure of Y2InAgBr. Values from VASP.

```
&SYSTEM
  ibrav = 0, nat = 5, ntyp = 4
/
ATOMIC_SPECIES
Y 88.91 Y.upf
Br 79.90 Br.upf
Ag 107.87 Ag.upf
In 114.82 In.upf
ATOMIC_POSITIONS angstrom
Y 0.000 0.000 2.672
Y 2.672 0.000 0.000
Br 0.000 0.000 0.000
Ag 0.000 2.529 0.000
In 2.672 2.529 2.672
CELL_PARAMETERS angstrom
5.344 0.000 0.000
0.000 5.059 0.000
0.000 0.000 5.344
```

Results
mass density: 5.52 g/cm3
density of states at the Fermi level: 2.90 states/eV per cell
M_tot: 0.00 μB per formula unit
E_form (uncorrected): -50 meV/atom

---

# 3
VASP calculation (GGA-PBE) on a relaxed structure of YIn2AgBr6. Values from VASP.

```
&SYSTEM
  ibrav = 0, nat = 20, ntyp = 4
/
ATOMIC_SPECIES
Y 88.91 Y.upf
In 114.82 In.upf
Ag 107.87 Ag.upf
Br 79.90 Br.upf
ATOMIC_POSITIONS angstrom
Y 3.861 0.000 5.456
Y 0.000 4.034 0.000
In 0.250 7.380 2.800
In 4.111 4.723 8.257
In 7.471 0.689 8.113
In 3.611 3.346 2.656
Ag 3.788 0.000 0.028
Ag 0.073 4.034 5.429
Br 2.315 5.552 0.532
Br 6.176 6.552 5.989
Br 5.406 2.517 10.381
Br 1.545 1.517 4.924
Br 2.454 5.692 4.887
Br 6.315 6.411 10.343
Br 5.267 2.377 6.026
Br 1.407 1.658 0.570
Br 6.797 4.229 2.757
Br 3.082 7.875 8.158
Br 0.925 3.840 8.156
Br 4.639 0.194 2.755
CELL_PARAMETERS angstrom
7.575 0.000 0.055
0.000 8.069 0.000
0.146 0.000 10.858
```

Results
mass density: 4.53 g/cm3
density of states at the Fermi level: 0.00 states/eV per cell
M_tot: 0.00 μB per formula unit
E_form (uncorrected): -1074 meV/atom

---

# 4
VASP calculation (GGA-PBE) on a relaxed structure of ZnInAgBr4. Values from VASP.

```
&SYSTEM
  ibrav = 0, nat = 14, ntyp = 4
/
ATOMIC_SPECIES
Zn 65.41 Zn.upf
In 114.82 In.upf
Ag 107.87 Ag.upf
Br 79.90 Br.upf
ATOMIC_POSITIONS angstrom
Zn 0.893 5.779 2.746
Zn 3.529 1.926 6.097
In 3.035 5.779 8.548
In 1.386 1.926 0.294
Ag 4.522 5.779 4.352
Ag -0.101 1.926 4.491
Br -1.538 3.774 6.153
Br 5.959 7.627 2.690
Br 5.959 3.931 2.690
Br -1.538 0.079 6.153
Br 2.256 5.779 0.758
Br 2.165 1.926 8.085
Br 1.904 5.779 4.909
Br 2.517 1.926 3.933
CELL_PARAMETERS angstrom
6.722 0.000 0.284
0.000 7.706 0.000
-2.301 0.000 8.559
```

Results
mass density: 4.50 g/cm3
density of states at the Fermi level: 0.00 states/eV per cell
M_tot: 0.00 μB per formula unit
E_form (uncorrected): -638 meV/atom

---

# 5
VASP calculation (GGA-PBE) on a relaxed structure of ZrInAgBr6. Values from VASP.

```
&SYSTEM
  ibrav = 0, nat = 18, ntyp = 4
/
ATOMIC_SPECIES
Zr 91.22 Zr.upf
In 114.82 In.upf
Ag 107.87 Ag.upf
Br 79.90 Br.upf
ATOMIC_POSITIONS angstrom
Zr 3.648 2.106 3.466
Zr 0.000 4.212 10.398
In 0.000 0.000 0.000
In 0.000 0.000 6.932
Ag 0.000 4.212 3.466
Ag 3.648 2.106 10.398
Br 2.435 3.897 1.913
Br 5.805 2.261 1.913
Br -0.945 6.158 8.845
Br -2.158 4.058 11.951
Br 1.490 2.261 5.019
Br 4.860 3.897 5.019
Br 0.945 6.158 11.951
Br 4.593 0.160 5.019
Br -1.213 2.421 8.845
Br 2.703 0.160 1.913
Br 2.158 4.058 8.845
Br 1.213 2.421 11.951
CELL_PARAMETERS angstrom
7.296 0.000 0.000
-3.648 6.318 0.000
0.000 0.000 13.864
```

Results
mass density: 4.12 g/cm3
density of states at the Fermi level: 0.00 states/eV per cell
M_tot: 0.00 μB per formula unit
E_form (uncorrected): -982 meV/atom

---

# 6
VASP calculation (GGA-PBE) on a relaxed structure of AgIr2Br. Values from VASP.

```
&SYSTEM
  ibrav = 0, nat = 4, ntyp = 3
/
ATOMIC_SPECIES
Ir 192.22 Ir.upf
Br 79.90 Br.upf
Ag 107.87 Ag.upf
ATOMIC_POSITIONS angstrom
Ir 9.912 3.460 7.567
Ir 7.852 2.741 6.513
Br 2.848 0.994 1.942
Ag 5.766 2.013 4.584
CELL_PARAMETERS angstrom
4.405 0.011 0.388
3.456 2.732 0.388
2.690 0.939 7.467
```

Results
mass density: 11.00 g/cm3
density of states at the Fermi level: 3.04 states/eV per cell
M_tot: 0.00 μB per formula unit
excess energy over the best structure of this formula in the dataset: 0.120 eV/atom
E_form (uncorrected): 566 meV/atom

---

# 7
VASP calculation (GGA-PBE) on a relaxed structure of AgIr2Br. Values from VASP.

```
&SYSTEM
  ibrav = 0, nat = 4, ntyp = 3
/
ATOMIC_SPECIES
Ir 192.22 Ir.upf
Br 79.90 Br.upf
Ag 107.87 Ag.upf
ATOMIC_POSITIONS angstrom
Ir -0.164 -0.169 0.008
Ir -0.591 -2.063 -1.771
Br -3.815 -5.397 -1.620
Ag -2.667 -2.759 0.126
CELL_PARAMETERS angstrom
-0.656 0.505 -2.840
2.024 -1.994 -0.823
-5.736 -5.933 0.270
```

Results
mass density: 13.15 g/cm3
density of states at the Fermi level: 2.52 states/eV per cell
M_tot: 0.00 μB per formula unit
excess energy over the best structure of this formula in the dataset: 0.119 eV/atom
E_form (uncorrected): 565 meV/atom

---

# 8
VASP calculation (GGA-PBE) on a relaxed structure of Ag3IrBr7. Values from VASP.

```
&SYSTEM
  ibrav = 0, nat = 11, ntyp = 3
/
ATOMIC_SPECIES
Ag 107.87 Ag.upf
Ir 192.22 Ir.upf
Br 79.90 Br.upf
ATOMIC_POSITIONS angstrom
Ag 5.381 3.125 6.492
Ag 3.967 5.014 3.201
Ag 1.804 5.956 6.492
Ir 7.201 9.100 13.028
Br 0.933 1.179 1.922
Br 4.619 2.139 3.965
Br 6.129 4.119 9.000
Br 1.020 4.987 3.965
Br 4.316 5.455 5.890
Br 2.600 6.912 9.000
Br 6.329 7.998 10.899
CELL_PARAMETERS angstrom
6.885 2.162 2.980
0.521 7.198 2.980
-0.202 -0.256 7.113
```

Results
mass density: 5.07 g/cm3
density of states at the Fermi level: 9.61 states/eV per cell
M_tot: 0.00 μB per formula unit
E_form (uncorrected): -269 meV/atom

---

# 9
VASP calculation (GGA-PBE) on a relaxed structure of AgIr2Br. Values from VASP.

```
&SYSTEM
  ibrav = 0, nat = 4, ntyp = 3
/
ATOMIC_SPECIES
Ir 192.22 Ir.upf
Br 79.90 Br.upf
Ag 107.87 Ag.upf
ATOMIC_POSITIONS angstrom
Ir -1.041 -0.908 -2.424
Ir -3.122 -2.723 -7.273
Br 0.000 0.000 0.000
Ag -2.082 -1.815 -4.848
CELL_PARAMETERS angstrom
-0.529 -3.637 -2.692
-3.795 -0.468 -2.476
0.161 0.475 -4.528
```

Results
mass density: 14.21 g/cm3
density of states at the Fermi level: 6.49 states/eV per cell
M_tot: 0.63 μB per formula unit
excess energy over the best structure of this formula in the dataset: 0.777 eV/atom
E_form (uncorrected): 1223 meV/atom

---

# 10
VASP calculation (GGA-PBE) on a relaxed structure of AgIr3Br. Values from VASP.

```
&SYSTEM
  ibrav = 0, nat = 5, ntyp = 3
/
ATOMIC_SPECIES
Ir 192.22 Ir.upf
Br 79.90 Br.upf
Ag 107.87 Ag.upf
ATOMIC_POSITIONS angstrom
Ir 0.000 2.308 0.000
Ir 0.000 0.000 2.308
Ir 2.308 0.000 0.000
Br 0.000 0.000 0.000
Ag 2.308 2.308 2.308
CELL_PARAMETERS angstrom
4.615 0.000 0.000
0.000 4.615 0.000
0.000 0.000 4.615
```

Results
mass density: 12.91 g/cm3
density of states at the Fermi level: 5.32 states/eV per cell
M_tot: 0.00 μB per formula unit
excess energy over the best structure of this formula in the dataset: 0.000 eV/atom
E_form (uncorrected): 1802 meV/atom

---

# 11
VASP calculation (GGA-PBE) on a relaxed structure of Ag2IrBr8. Values from VASP.

```
&SYSTEM
  ibrav = 0, nat = 11, ntyp = 3
/
ATOMIC_SPECIES
Ag 107.87 Ag.upf
Ir 192.22 Ir.upf
Br 79.90 Br.upf
ATOMIC_POSITIONS angstrom
Ag -1.251 0.179 6.015
Ag 0.971 -1.303 3.047
Ir 0.000 0.000 0.000
Br -4.472 1.333 3.620
Br -1.531 -0.494 1.902
Br 4.193 -2.458 5.442
Br 0.842 -3.171 4.814
Br 1.251 -0.630 7.161
Br -3.778 -2.326 4.353
Br 3.498 1.202 4.710
Br -1.122 2.046 4.249
CELL_PARAMETERS angstrom
-5.645 3.507 3.298
0.274 -6.806 -0.639
5.092 2.175 6.403
```

Results
mass density: 5.16 g/cm3
density of states at the Fermi level: 9.08 states/eV per cell
M_tot: 0.00 μB per formula unit
E_form (uncorrected): -111 meV/atom

---

# 12
VASP calculation (GGA-PBE) on a relaxed structure of AgIrBr3. Values from VASP.

```
&SYSTEM
  ibrav = 0, nat = 5, ntyp = 3
/
ATOMIC_SPECIES
Ag 107.87 Ag.upf
Ir 192.22 Ir.upf
Br 79.90 Br.upf
ATOMIC_POSITIONS angstrom
Ag 2.546 2.546 2.546
Ir 0.000 0.000 0.000
Br 0.000 2.546 0.000
Br 0.000 0.000 2.546
Br 2.546 0.000 0.000
CELL_PARAMETERS angstrom
5.091 0.000 0.000
0.000 5.091 0.000
0.000 0.000 5.091
```

Results
mass density: 6.79 g/cm3
density of states at the Fermi level: 2.54 states/eV per cell
M_tot: 0.00 μB per formula unit
excess energy over the best structure of this formula in the dataset: 0.000 eV/atom
E_form (uncorrected): 301 meV/atom

---

Q: Which of these has the highest M_tot?
A: number 9

---

Q: Which value of E_form (uncorrected) does entry 10 give?
A: 1802 meV/atom

---

Copy entry 7 word for word.
VASP calculation (GGA-PBE) on a relaxed structure of AgIr2Br. Values from VASP.

```
&SYSTEM
  ibrav = 0, nat = 4, ntyp = 3
/
ATOMIC_SPECIES
Ir 192.22 Ir.upf
Br 79.90 Br.upf
Ag 107.87 Ag.upf
ATOMIC_POSITIONS angstrom
Ir -0.164 -0.169 0.008
Ir -0.591 -2.063 -1.771
Br -3.815 -5.397 -1.620
Ag -2.667 -2.759 0.126
CELL_PARAMETERS angstrom
-0.656 0.505 -2.840
2.024 -1.994 -0.823
-5.736 -5.933 0.270
```

Results
mass density: 13.15 g/cm3
density of states at the Fermi level: 2.52 states/eV per cell
M_tot: 0.00 μB per formula unit
excess energy over the best structure of this formula in the dataset: 0.119 eV/atom
E_form (uncorrected): 565 meV/atom